# 1
Below is an optimized crystal structure of Li5Ru, with properties calculated at the PBE level.

The value obtained for the formation energy is 0.16 eV/atom. Its energy above the most stable polymorph in this dataset is 34 kJ/mol of formula units. Its total magnetization is 0.0 μB per formula unit.

The space group is Cmmm (No. 65) and the conventional cell measures 4.7710, 14.3855 and 2.6139 Å, with angles of 90.00, 90.00 and 90.00 degrees. The distinct sites, in fractional coordinates, are Li at (0.0000, 0.0000, 0.0000), Li at (0.0000, 0.1548, 0.5000), Li at (0.0000, 0.3398, 0.0000) and Ru at (0.0000, 0.5000, 0.5000).



# 2
Below is an optimized crystal structure of ZrAlNi, with properties calculated at the PBE level.

The value obtained for the formation energy is -0.42 eV/atom. Its total magnetization is 0.0 μB per formula unit.

The space group is P-1 (No. 2) and the conventional cell measures 5.4424, 6.2614 and 6.8382 Å, with angles of 64.28, 82.59 and 71.75 degrees. The distinct sites, in fractional coordinates, are Zr at (0.1298, 0.4440, 0.2123), Zr at (0.2737, 0.8603, 0.6726), Al at (0.2265, 0.0545, 0.0340), Al at (0.3691, 0.3281, 0.6172), Ni at (0.1263, 0.7562, 0.3662) and Ni at (0.4770, 0.3565, 0.9292).



| no. | E (eV/atom) | DOS(E_F) (states/eV/atom) |
| --- | --- | --- |
| 1 | -2.985 | 0.553 |
| 2 | -6.443 | 0.743 |